(1)
ZnSb2Te after structural relaxation. Source: the Alexandria database, functional GGA-PBE.

```
data_ZnSb2Te
_chemical_formula_sum 'Zn3 Sb6 Te3'
_symmetry_space_group_name_H-M 'R 3 m'
_symmetry_Int_Tables_number 160
_symmetry_space_group_name_Hall 'R 3 -2"'
_cell_length_a 4.3133
_cell_length_b 4.3133
_cell_length_c 24.1111
_cell_angle_alpha 90.00
_cell_angle_beta 90.00
_cell_angle_gamma 120.00
loop_
_atom_site_label
_atom_site_type_symbol
_atom_site_fract_x
_atom_site_fract_y
_atom_site_fract_z
Zn1 Zn 0.0000 0.0000 0.0000
Sb1 Sb 0.0000 0.0000 0.1554
Sb2 Sb 0.0000 0.0000 0.8860
Te1 Te 0.0000 0.0000 0.3708
```

The total energy comes out at -3.315 eV per atom. As for the crystal system: trigonal. As for the distance to the lowest polymorph of the same formula: 0.0 meV/atom. As for the total magnetization: 0.0 μB per formula unit.

=====

(2)
ZnSb4Te after structural relaxation. Source: the Alexandria database, functional GGA-PBE.

```
data_ZnSb4Te
_chemical_formula_sum 'Zn4 Sb16 Te4'
_symmetry_space_group_name_H-M 'F -4 3 m'
_symmetry_Int_Tables_number 216
_symmetry_space_group_name_Hall 'F -4 2 3'
_cell_length_a 8.8281
_cell_length_b 8.8281
_cell_length_c 8.8281
_cell_angle_alpha 90.00
_cell_angle_beta 90.00
_cell_angle_gamma 90.00
loop_
_atom_site_label
_atom_site_type_symbol
_atom_site_fract_x
_atom_site_fract_y
_atom_site_fract_z
Zn1 Zn 0.0000 0.0000 0.0000
Sb1 Sb 0.1244 0.1244 0.6244
Te1 Te 0.2500 0.2500 0.2500
```

The total energy comes out at -3.097 eV per atom. As for the crystal system: cubic. As for the total magnetization: 0.0 μB per formula unit.

=====

(3)
ZnSb2Te after structural relaxation. Source: the Alexandria database, functional GGA-PBE.

```
data_ZnSb2Te
_chemical_formula_sum 'Zn1 Sb2 Te1'
_symmetry_space_group_name_H-M 'P 1 m 1'
_symmetry_Int_Tables_number 6
_cell_length_a 3.1708
_cell_length_b 5.9843
_cell_length_c 5.9834
_cell_angle_alpha 90.00
_cell_angle_beta 93.58
_cell_angle_gamma 90.00
loop_
_symmetry_equiv_pos_as_xyz
'x,y,z'
'x,-y,z'
loop_
_atom_site_label
_atom_site_type_symbol
_atom_site_fract_x
_atom_site_fract_y
_atom_site_fract_z
Zn1 Zn 0.0000 0.0000 0.0000
Sb1 Sb 0.0115 0.5000 0.4947
Sb2 Sb 0.9211 0.0000 0.4899
Te1 Te 0.1205 0.5000 0.9917
```

The total energy comes out at -3.076 eV per atom. As for the crystal system: monoclinic. As for the distance to the lowest polymorph of the same formula: 239.1 meV/atom. As for the total magnetization: 0.0 μB per formula unit.

=====

(4)
ZnSb2Te after structural relaxation. Source: the Alexandria database, functional GGA-PBE.

```
data_ZnSb2Te
_chemical_formula_sum 'Zn1 Sb2 Te1'
_symmetry_space_group_name_H-M 'P m m m'
_symmetry_Int_Tables_number 47
_cell_length_a 3.7947
_cell_length_b 4.9388
_cell_length_c 5.5108
_cell_angle_alpha 90.00
_cell_angle_beta 90.00
_cell_angle_gamma 90.00
loop_
_symmetry_equiv_pos_as_xyz
'x,y,z'
'-x,-y,-z'
'-x,-y,z'
'x,y,-z'
'x,-y,-z'
'-x,y,z'
'-x,y,-z'
'x,-y,z'
loop_
_atom_site_label
_atom_site_type_symbol
_atom_site_fract_x
_atom_site_fract_y
_atom_site_fract_z
Zn1 Zn 0.0000 0.0000 0.0000
Sb1 Sb 0.0000 0.5000 0.5000
Sb2 Sb 0.5000 0.5000 0.0000
Te1 Te 0.5000 0.0000 0.5000
```

The total energy comes out at -2.925 eV per atom. As for the crystal system: orthorhombic. As for the distance to the lowest polymorph of the same formula: 389.7 meV/atom. As for the total magnetization: 0.0 μB per formula unit.

=====

(5)
ZnSb2Te after structural relaxation. Source: the Alexandria database, functional GGA-PBE.

```
data_ZnSb2Te
_chemical_formula_sum 'Zn2 Sb4 Te2'
_symmetry_space_group_name_H-M 'I -4 m 2'
_symmetry_Int_Tables_number 119
_symmetry_space_group_name_Hall 'I -4 -2'
_cell_length_a 5.2536
_cell_length_b 5.2536
_cell_length_c 7.4055
_cell_angle_alpha 90.00
_cell_angle_beta 90.00
_cell_angle_gamma 90.00
loop_
_atom_site_label
_atom_site_type_symbol
_atom_site_fract_x
_atom_site_fract_y
_atom_site_fract_z
Zn1 Zn 0.0000 0.0000 0.0000
Sb1 Sb 0.0000 0.0000 0.5000
Sb2 Sb 0.0000 0.5000 0.2500
Te1 Te 0.0000 0.5000 0.7500
```

The total energy comes out at -2.917 eV per atom. As for the crystal system: tetragonal. As for the distance to the lowest polymorph of the same formula: 398.0 meV/atom. As for the total magnetization: 0.0 μB per formula unit.

=====

(6)
ZrSbTe2 after structural relaxation. Source: the Alexandria database, functional GGA-PBE.

```
data_ZrSbTe2
_chemical_formula_sum 'Zr1 Sb1 Te2'
_symmetry_space_group_name_H-M 'P m m m'
_symmetry_Int_Tables_number 47
_cell_length_a 3.8169
_cell_length_b 4.7284
_cell_length_c 5.8873
_cell_angle_alpha 90.00
_cell_angle_beta 90.00
_cell_angle_gamma 90.00
loop_
_symmetry_equiv_pos_as_xyz
'x,y,z'
'-x,-y,-z'
'-x,-y,z'
'x,y,-z'
'x,-y,-z'
'-x,y,z'
'-x,y,-z'
'x,-y,z'
loop_
_atom_site_label
_atom_site_type_symbol
_atom_site_fract_x
_atom_site_fract_y
_atom_site_fract_z
Zr1 Zr 0.0000 0.0000 0.0000
Sb1 Sb 0.5000 0.0000 0.5000
Te1 Te 0.0000 0.5000 0.5000
Te2 Te 0.5000 0.5000 0.0000
```

The total energy comes out at -4.782 eV per atom. As for the crystal system: orthorhombic. As for the total magnetization: 0.0 μB per formula unit.

=====

(7)
ZrSbTe2 after structural relaxation. Source: the Alexandria database, functional GGA-PBE.

```
data_ZrSbTe2
_chemical_formula_sum 'Zr1 Sb1 Te2'
_symmetry_space_group_name_H-M 'P 4/m m m'
_symmetry_Int_Tables_number 123
_symmetry_space_group_name_Hall '-P 4 2'
_cell_length_a 3.6451
_cell_length_b 3.6451
_cell_length_c 7.6581
_cell_angle_alpha 90.00
_cell_angle_beta 90.00
_cell_angle_gamma 90.00
loop_
_atom_site_label
_atom_site_type_symbol
_atom_site_fract_x
_atom_site_fract_y
_atom_site_fract_z
Zr1 Zr 0.0000 0.0000 0.0000
Sb1 Sb 0.0000 0.0000 0.5000
Te1 Te 0.5000 0.5000 0.2155
```

The total energy comes out at -5.157 eV per atom. As for the crystal system: tetragonal. As for the total magnetization: 0.0 μB per formula unit.

=====

(8)
ZrSbTe after structural relaxation. Source: the Alexandria database, functional GGA-PBE.

```
data_ZrSbTe
_chemical_formula_sum 'Zr4 Sb4 Te4'
_symmetry_space_group_name_H-M 'F m m 2'
_symmetry_Int_Tables_number 42
_symmetry_space_group_name_Hall 'F 2 -2'
_cell_length_a 4.1474
_cell_length_b 5.2696
_cell_length_c 15.5662
_cell_angle_alpha 90.00
_cell_angle_beta 90.00
_cell_angle_gamma 90.00
loop_
_atom_site_label
_atom_site_type_symbol
_atom_site_fract_x
_atom_site_fract_y
_atom_site_fract_z
Zr1 Zr 0.0000 0.0000 0.0000
Sb1 Sb 0.0000 0.0000 0.3628
Te1 Te 0.0000 0.0000 0.6305
```

The total energy comes out at -5.728 eV per atom. As for the crystal system: orthorhombic. As for the total magnetization: 0.0 μB per formula unit.

=====

(9)
ZrSbTe after structural relaxation. Source: the Alexandria database, functional GGA-PBE.

```
data_ZrSbTe
_chemical_formula_sum 'Zr4 Sb4 Te4'
_symmetry_space_group_name_H-M 'P 1 21/c 1'
_symmetry_Int_Tables_number 14
_cell_length_a 7.7374
_cell_length_b 7.6730
_cell_length_c 5.8310
_cell_angle_alpha 90.00
_cell_angle_beta 112.04
_cell_angle_gamma 90.00
loop_
_symmetry_equiv_pos_as_xyz
'x,y,z'
'-x,-y,-z'
'-x,y+1/2,-z+1/2'
'x,-y+1/2,z+1/2'
loop_
_atom_site_label
_atom_site_type_symbol
_atom_site_fract_x
_atom_site_fract_y
_atom_site_fract_z
Zr1 Zr 0.2315 0.0703 0.1162
Sb1 Sb 0.0918 0.7499 0.2956
Te1 Te 0.3904 0.0857 0.6954
```

The total energy comes out at -5.896 eV per atom. As for the crystal system: monoclinic. As for the total magnetization: 0.0 μB per formula unit.

=====

(10)
ZrSbTe2 after structural relaxation. Source: the Alexandria database, functional GGA-PBE.

```
data_ZrSbTe2
_chemical_formula_sum 'Zr2 Sb2 Te4'
_symmetry_space_group_name_H-M 'I m m 2'
_symmetry_Int_Tables_number 44
_cell_length_a 3.6903
_cell_length_b 4.8164
_cell_length_c 13.7084
_cell_angle_alpha 90.00
_cell_angle_beta 90.00
_cell_angle_gamma 90.00
loop_
_symmetry_equiv_pos_as_xyz
'x,y,z'
'-x,-y,z'
'-x,y,z'
'x,-y,z'
'x+1/2,y+1/2,z+1/2'
'-x+1/2,-y+1/2,z+1/2'
'-x+1/2,y+1/2,z+1/2'
'x+1/2,-y+1/2,z+1/2'
loop_
_atom_site_label
_atom_site_type_symbol
_atom_site_fract_x
_atom_site_fract_y
_atom_site_fract_z
Zr1 Zr 0.0000 0.0000 0.0000
Sb1 Sb 0.0000 0.5000 0.6871
Te1 Te 0.0000 0.0000 0.5546
Te2 Te 0.0000 0.5000 0.3399
```

The total energy comes out at -5.006 eV per atom. As for the crystal system: orthorhombic. As for the total magnetization: 0.0 μB per formula unit.

=====

(11)
ZrSbTe2 after structural relaxation. Source: the Alexandria database, functional GGA-PBE.

```
data_ZrSbTe2
_chemical_formula_sum 'Zr4 Sb4 Te8'
_symmetry_space_group_name_H-M 'F -4 3 m'
_symmetry_Int_Tables_number 216
_symmetry_space_group_name_Hall 'F -4 2 3'
_cell_length_a 7.4325
_cell_length_b 7.4325
_cell_length_c 7.4325
_cell_angle_alpha 90.00
_cell_angle_beta 90.00
_cell_angle_gamma 90.00
loop_
_atom_site_label
_atom_site_type_symbol
_atom_site_fract_x
_atom_site_fract_y
_atom_site_fract_z
Zr1 Zr 0.0000 0.0000 0.0000
Sb1 Sb 0.2500 0.2500 0.7500
Te1 Te 0.0000 0.0000 0.5000
Te2 Te 0.2500 0.2500 0.2500
```

The total energy comes out at -4.696 eV per atom. As for the crystal system: cubic. As for the total magnetization: 0.0 μB per formula unit.

=====

(12)
ZrSbTe2 after structural relaxation. Source: the Alexandria database, functional GGA-PBE.

```
data_ZrSbTe2
_chemical_formula_sum 'Zr1 Sb1 Te2'
_symmetry_space_group_name_H-M 'P 1 m 1'
_symmetry_Int_Tables_number 6
_cell_length_a 3.8662
_cell_length_b 5.1224
_cell_length_c 5.7609
_cell_angle_alpha 90.00
_cell_angle_beta 109.51
_cell_angle_gamma 90.00
loop_
_symmetry_equiv_pos_as_xyz
'x,y,z'
'x,-y,z'
loop_
_atom_site_label
_atom_site_type_symbol
_atom_site_fract_x
_atom_site_fract_y
_atom_site_fract_z
Zr1 Zr 0.0000 0.0000 0.0000
Sb1 Sb 0.5835 0.5000 0.1668
Te1 Te 0.2786 0.0000 0.5566
Te2 Te 0.8659 0.5000 0.7297
```

The total energy comes out at -5.049 eV per atom. As for the crystal system: monoclinic. As for the total magnetization: 0.0 μB per formula unit.